[1]
Below is a relaxed structure of RbBe2F2, with properties calculated at the GGA-PBE level.

Cell and atoms, written as POSCAR:
```
RbBe2F2
1.0
8.3137 0.0000 0.0000
0.0000 8.3137 0.0000
0.0000 0.0000 2.6852
F Be Rb
4 4 2
direct
0.5950 0.0950 0.0000
0.0950 0.4050 0.0000
0.4050 0.9050 0.0000
0.9050 0.5950 0.0000
0.3999 0.1001 0.5000
0.6001 0.8999 0.5000
0.8999 0.3999 0.5000
0.1001 0.6001 0.5000
0.5000 0.5000 0.0000
0.0000 0.0000 0.0000
```

Properties
VASP energy = -29.25 eV for the cell shown
Excess energy over the best structure of this formula in the dataset = 0.6786 eV per atom
Formation energy (no corrections) = -493 meV per atom

***

[2]
Below is a relaxed structure of Er3In2H, with properties calculated at the GGA-PBE level.

Cell and atoms, written as POSCAR:
```
Er3In2H
1.0
6.1889 0.0000 0.0000
0.0000 6.5843 0.3248
-3.0945 -1.2822 6.8981
Er In H
6 4 2
direct
0.4158 0.2500 0.0000
0.0320 0.1412 0.2385
0.9680 0.8588 0.7615
0.5842 0.7500 0.0000
0.2065 0.6412 0.2385
0.7935 0.3588 0.7615
0.6211 0.0369 0.3721
0.7511 0.5369 0.3721
0.3789 0.9631 0.6279
0.2489 0.4631 0.6279
0.0740 0.2500 0.0000
0.9260 0.7500 0.0000
```

Properties
VASP energy = -49.05 eV for the cell shown

***

[3]
Below is a relaxed structure of SbMoP3, with properties calculated at the GGA-PBE level.

Cell and atoms, written as POSCAR:
```
SbMoP3
1.0
4.7236 0.0000 0.0000
0.0000 4.7236 0.0000
0.0000 0.0000 4.7236
Mo P Sb
1 3 1
direct
0.0000 0.0000 0.0000
0.5000 0.0000 0.0000
0.0000 0.0000 0.5000
0.0000 0.5000 0.0000
0.5000 0.5000 0.5000
```

Properties
VASP energy = -28.40 eV for the cell shown
Excess energy over the best structure of this formula in the dataset = 0.0000 eV per atom
Formation energy (no corrections) = 557 meV per atom

***

[4]
Below is a relaxed structure of LaCrHg2, with properties calculated at the GGA-PBE level.

Cell and atoms, written as POSCAR:
```
LaCrHg2
1.0
7.0899 0.0810 -0.3501
4.7700 5.2460 0.3501
-5.6295 -3.3324 2.7567
La Cr Hg
1 1 2
direct
0.4463 0.4463 0.0000
0.2391 0.7391 0.5000
0.0690 0.0690 0.0000
0.7455 0.2455 0.5000
```

Properties
VASP energy = -14.73 eV for the cell shown
Energy of formation = 0.105 eV per atom

***

[5]
Below is a relaxed structure of Cs4Ho3ZrSe8, with properties calculated at the GGA-PBE level.

Cell and atoms, written as POSCAR:
```
Cs4Ho3ZrSe8
1.0
-0.1521 6.2075 5.6124
6.1136 -4.9398 5.6293
2.6432 1.4799 -7.8063
Se Ho Cs Zr
8 3 4 1
direct
0.2228 0.6837 0.4456
0.2619 0.3162 0.0390
0.7772 0.3163 0.5544
0.2229 0.6838 0.9610
0.7289 0.6863 0.4577
0.7771 0.3162 0.0390
0.2711 0.3137 0.5423
0.7381 0.6838 0.9610
0.5000 0.5000 0.5000
0.0000 0.5000 0.5000
0.5000 0.5000 0.0000
0.5000 0.0000 0.0000
0.0000 0.0000 0.0000
0.0000 0.0000 0.5000
0.5000 0.0000 0.5000
0.0000 0.5000 0.0000
```

Properties
VASP energy = -79.11 eV for the cell shown
Formation energy (no corrections) = -1596 meV per atom

***

[6]
Below is a relaxed structure of Li3HPd, with properties calculated at the GGA-PBE level.

Cell and atoms, written as POSCAR:
```
Li3HPd
1.0
4.1382 0.0001 0.0000
0.0001 4.3267 -3.2700
0.0001 -0.9061 7.4605
Li Pd H
6 2 2
direct
0.5154 0.1311 0.3137
0.5154 0.6378 0.3457
0.0155 0.6364 0.0696
0.5154 0.6356 0.7898
0.0154 0.1319 0.5936
0.0154 0.1297 0.0377
0.5154 0.1746 0.8376
0.0154 0.5929 0.5457
0.0155 0.1462 0.3233
0.5155 0.6213 0.0600
```

Properties
VASP energy = -31.86 eV for the cell shown
Excess energy over the best structure of this formula in the dataset = 0.0017 eV per atom

***

[7]
Below is a relaxed structure of PrEr2Tm5Sc, with properties calculated at the GGA-PBE level.

Cell and atoms, written as POSCAR:
```
PrEr2Tm5Sc
1.0
-3.6286 3.9039 -1.4067
0.6946 -6.1499 -8.0586
-7.6434 -5.7584 3.7357
Er Tm Sc Pr
4 10 2 2
direct
0.8860 0.7720 0.2340
0.1140 0.2280 0.7340
0.8889 0.7778 0.8150
0.1111 0.2222 0.3150
0.4798 0.9596 0.7375
0.9818 0.9635 0.5216
0.7020 0.4040 0.2071
0.3775 0.7549 0.0209
0.5202 0.0404 0.2375
0.2980 0.5960 0.7071
0.7237 0.4474 0.8225
0.2763 0.5526 0.3225
0.0182 0.0365 0.0216
0.6225 0.2451 0.5209
0.8033 0.6065 0.5144
0.1967 0.3935 0.0144
0.5864 0.1728 0.9510
0.4136 0.8272 0.4510
```

Properties
VASP energy = -81.94 eV for the cell shown
Energy of formation = 0.180 eV per atom

***

[8]
Below is a relaxed structure of Er11In9Cu4, with properties calculated at the GGA-PBE level.

Cell and atoms, written as POSCAR:
```
Er11In9Cu4
1.0
9.5944 1.5416 8.6555
-11.3144 4.9720 4.0754
-0.8628 -3.2169 1.5293
Er Cu In
11 4 9
direct
0.0000 0.0000 0.0000
0.8394 0.1606 0.0000
0.4150 0.0735 0.0000
0.3084 0.3084 0.0000
0.1606 0.8394 0.0000
0.5850 0.9265 0.0000
0.9265 0.5850 0.0000
0.3723 0.6277 0.0000
0.6277 0.3723 0.0000
0.0735 0.4150 0.0000
0.6916 0.6916 0.0000
0.2501 0.4496 0.5000
0.7499 0.5504 0.5000
0.5504 0.7499 0.5000
0.4496 0.2501 0.5000
0.3686 0.8439 0.5000
0.8439 0.3686 0.5000
0.5000 0.5000 0.5000
0.7821 0.9267 0.5000
0.2179 0.0733 0.5000
0.9267 0.7821 0.5000
0.6314 0.1561 0.5000
0.1561 0.6314 0.5000
0.0733 0.2179 0.5000
```

Properties
VASP energy = -101.68 eV for the cell shown
Energy of formation = -0.436 eV per atom

***

[9]
Below is a relaxed structure of LaHoGa2, with properties calculated at the GGA-PBE level.

Cell and atoms, written as POSCAR:
```
LaHoGa2
1.0
-1.7348 -0.1562 3.2140
-3.0542 -1.0697 -1.7005
2.0336 -7.0095 0.7569
Ho La Ga
1 1 2
direct
0.5000 0.5000 0.0000
0.5000 0.5000 0.5000
0.0000 0.0000 0.7744
0.0000 0.0000 0.2256
```

Properties
VASP energy = -17.90 eV for the cell shown
Energy of formation = -0.586 eV per atom

***

[10]
Below is a relaxed structure of LaNiAu2C, with properties calculated at the GGA-PBE level.

Cell and atoms, written as POSCAR:
```
LaNiAu2C
1.0
-2.7539 2.6305 3.3489
-1.3661 -3.1221 1.3290
3.8142 -0.2501 3.3329
Au C Ni La
2 1 1 1
direct
0.5000 0.0000 0.0000
0.0000 0.0000 0.5000
0.0000 0.5000 0.0000
0.0000 0.0000 0.0000
0.5000 0.5000 0.5000
```

Properties
VASP energy = -25.62 eV for the cell shown
Energy of formation = 0.173 eV per atom

***

[11]
Below is a relaxed structure of LuAsH, with properties calculated at the GGA-PBE level.

Cell and atoms, written as POSCAR:
```
LuAsH
1.0
3.7786 0.0000 0.0000
-1.8893 5.5101 -0.0409
0.0000 -1.5839 4.6045
Lu H As
2 2 2
direct
0.1292 0.2584 0.3016
0.8708 0.7416 0.6984
0.7181 0.4362 0.3165
0.2819 0.5638 0.6835
0.5863 0.1725 0.7502
0.4137 0.8275 0.2498
```

Properties
VASP energy = -29.48 eV for the cell shown
Excess energy over the best structure of this formula in the dataset = 0.0277 eV per atom

***

[12]
Below is a relaxed structure of Er7Tm12Cd, with properties calculated at the GGA-PBE level.

Cell and atoms, written as POSCAR:
```
Er7Tm12Cd
1.0
-7.9257 -1.1386 -3.5343
-6.7035 -2.8929 5.7822
-1.4864 7.5958 3.6886
Er Tm Cd
7 12 1
direct
0.1603 0.2217 0.0844
0.1018 0.8636 0.6770
0.7969 0.5212 0.2047
0.2031 0.4788 0.7953
0.8397 0.7783 0.9156
0.5000 0.5000 0.5000
0.8982 0.1364 0.3230
0.3811 0.0394 0.8081
0.8077 0.6781 0.5388
0.9196 0.2813 0.6986
0.6189 0.9606 0.1919
0.6384 0.0804 0.5600
0.3616 0.9196 0.4400
0.6266 0.2345 0.9024
0.5666 0.6208 0.8112
0.4334 0.3792 0.1888
0.1923 0.3219 0.4612
0.3734 0.7655 0.0976
0.0804 0.7187 0.3014
0.0000 0.0000 0.0000
```

Properties
VASP energy = -85.06 eV for the cell shown
Energy of formation = 0.073 eV per atom

***

Repeat the sixth record exactly.
Below is a relaxed structure of Li3HPd, with properties calculated at the GGA-PBE level.

Cell and atoms, written as POSCAR:
```
Li3HPd
1.0
4.1382 0.0001 0.0000
0.0001 4.3267 -3.2700
0.0001 -0.9061 7.4605
Li Pd H
6 2 2
direct
0.5154 0.1311 0.3137
0.5154 0.6378 0.3457
0.0155 0.6364 0.0696
0.5154 0.6356 0.7898
0.0154 0.1319 0.5936
0.0154 0.1297 0.0377
0.5154 0.1746 0.8376
0.0154 0.5929 0.5457
0.0155 0.1462 0.3233
0.5155 0.6213 0.0600
```

Properties
VASP energy = -31.86 eV for the cell shown
Excess energy over the best structure of this formula in the dataset = 0.0017 eV per atom

***

Which value of VASP energy does entry 8 give?
-101.68 eV for the cell shown

***

The highest VASP energy belongs to which entry?
LaCrHg2

***

Which value of VASP energy does entry 8 give?
-101.68 eV for the cell shown